Entry 1:
Compound: HgBi2MoS
Source: Alexandria via LeMat-Bulk
Functional: SCAN
Structure: PBEsol geometry

The structure in POSCAR format:
```
HgBi2MoS
1.0
5.2446 0.0000 0.0000
0.0000 5.2446 0.0000
0.0000 0.0000 5.1918
Hg Bi Mo S
1 2 1 1
Direct
0.0000 0.0000 0.0000
0.0000 0.5000 0.5000
0.5000 0.0000 0.5000
0.0000 0.0000 0.5000
0.5000 0.5000 0.0000
```

Computed properties:
Formation energy without anion corrections (eV per atom): 0.75
Final energy (eV per atom): -53.22
Space group: P4/mmm (123)

=====

Entry 2:
Compound: Na2Hg2Bi
Source: Alexandria via LeMat-Bulk
Functional: SCAN
Structure: PBEsol geometry

The structure in POSCAR format:
```
Na2Hg2Bi
1.0
8.5593 0.0000 0.0000
0.0000 8.5593 0.0000
0.0000 0.0000 3.4116
Na Hg Bi
4 4 2
Direct
0.1751 0.3249 0.0000
0.3249 0.8249 0.0000
0.6751 0.1751 0.0000
0.8249 0.6751 0.0000
0.1221 0.6221 0.5000
0.3779 0.1221 0.5000
0.6221 0.8779 0.5000
0.8779 0.3779 0.5000
0.0000 0.0000 0.5000
0.5000 0.5000 0.5000
```

Computed properties:
Final energy (eV per atom): -44.97
Space group: P4/mbm (127)

=====

Entry 3:
Compound: NbHgBi
Source: Alexandria via LeMat-Bulk
Functional: SCAN
Structure: PBEsol geometry

The structure in POSCAR format:
```
NbHgBi
1.0
3.5020 0.0000 0.0000
0.0000 3.5020 0.0000
0.0000 0.0000 12.0211
Nb Hg Bi
2 2 2
Direct
0.2500 0.2500 0.0581
0.7500 0.7500 0.9419
0.2500 0.2500 0.4142
0.7500 0.7500 0.5858
0.2500 0.2500 0.7992
0.7500 0.7500 0.2008
```

Computed properties:
Final energy (eV per atom): -60.00
Space group: P4/nmm (129)

=====

Entry 4:
Compound: TiNb2HgBi
Source: Alexandria via LeMat-Bulk
Functional: SCAN
Structure: PBEsol geometry

The structure in POSCAR format:
```
TiNb2HgBi
1.0
5.0328 0.0000 0.0000
0.0000 5.0328 0.0000
0.0000 0.0000 5.4301
Ti Nb Hg Bi
1 2 1 1
Direct
0.0000 0.0000 0.0000
0.0000 0.5000 0.5000
0.5000 0.0000 0.5000
0.5000 0.5000 0.5000
0.5000 0.5000 0.0000
```

Computed properties:
Final energy (eV per atom): -44.09
Space group: P4/mmm (123)

=====

Entry 5:
Compound: Hg3BiO
Source: Alexandria via LeMat-Bulk
Functional: SCAN
Structure: PBEsol geometry

The structure in POSCAR format:
```
Hg3BiO
1.0
5.8273 0.0000 0.0000
0.0000 5.8273 0.0000
0.0000 0.0000 5.8273
Hg Bi O
3 1 1
Direct
0.0000 0.0000 0.5000
0.0000 0.5000 0.0000
0.5000 0.0000 0.0000
0.0000 0.0000 0.0000
0.5000 0.5000 0.5000
```

Computed properties:
Formation energy without anion corrections (eV per atom): 0.66
Final energy (eV per atom): -57.20
Space group: Pm-3m (221)
Energy above the most stable polymorph in this dataset (meV/atom): 378.7

=====

Entry 6:
Compound: HgBiO2
Source: Alexandria via LeMat-Bulk
Functional: SCAN
Structure: PBEsol geometry

The structure in POSCAR format:
```
HgBiO2
1.0
1.7936 1.0355 6.8800
-1.7936 1.0355 6.8800
0.0000 -2.0711 6.8800
Hg Bi O
1 1 2
Direct
0.0000 0.0000 0.0000
0.5000 0.5000 0.5000
0.1081 0.1081 0.1081
0.8919 0.8919 0.8919
```

Computed properties:
Formation energy without anion corrections (eV per atom): -0.50
Final energy (eV per atom): -40.30
Space group: R-3m (166)

=====

Question: Among the records above, which one has the lowest final energy?
Answer: NbHgBi